{"formula": "Ho2TmP3Ir12", "functional": "PBE", "state": "relaxed", "dos_at_fermi_per_ev_cell": 9.55, "delta_e_f_ev_per_atom": -0.191, "lattice_angstrom": [[4.5149, 2.6067, 4.2778], [-4.5149, 2.6067, 4.2778], [0.0000, -5.2133, 4.2778]], "species": ["Ho", "Ho", "Tm", "P", "P", "P", "Ir", "Ir", "Ir", "Ir", "Ir", "Ir", "Ir", "Ir", "Ir", "Ir", "Ir", "Ir"], "fractional_positions": [[0.1285, 0.1285, 0.1285], [0.8715, 0.8715, 0.8715], [0.5000, 0.5000, 0.5000], [0.0000, 0.5000, 0.5000], [0.5000, 0.0000, 0.5000], [0.5000, 0.5000, 0.0000], [0.1242, 0.1242, 0.6045], [0.1242, 0.6045, 0.1242], [0.1654, 0.6785, 0.6785], [0.3215, 0.3215, 0.8346], [0.3215, 0.8346, 0.3215], [0.3955, 0.8758, 0.8758], [0.6045, 0.1242, 0.1242], [0.6785, 0.1654, 0.6785], [0.6785, 0.6785, 0.1654], [0.8346, 0.3215, 0.3215], [0.8758, 0.3955, 0.8758], [0.8758, 0.8758, 0.3955]]}